Record 1
The following is a GGA-PBE calculation of a relaxed PuCdHg4 crystal, from Alexandria.

The volume is 146.2 Å³/f.u. The energy of formation comes out at -0.071 eV/atom. The calculation puts the density of states at the Fermi level at 1.6022 states/eV/atom.

The space group is P1 (No. 1) and the conventional cell measures 3.1086, 5.1095 and 9.2065 Å, with angles of 89.75, 89.91 and 89.97 degrees. The distinct sites, in fractional coordinates, are Pu at (0.0000, 0.0000, 0.0000), Cd at (0.9963, 0.5001, 0.5002), Hg at (0.4983, 0.9977, 0.3360), Hg at (0.4990, 0.0024, 0.6640), Hg at (0.4989, 0.4986, 0.1689) and Hg at (0.5027, 0.5015, 0.8311).

---

Record 2
The following is a GGA-PBE calculation of a relaxed PuCd7Hg4 crystal, from Alexandria.

The volume is 317.0 Å³/f.u. The energy of formation comes out at 0.106 eV/atom. The calculation puts the density of states at the Fermi level at 1.6885 states/eV/atom.

The space group is C2/m (No. 12) and the conventional cell measures 12.4722, 6.1558 and 9.7707 Å, with angles of 90.00, 122.31 and 90.00 degrees. The distinct sites, in fractional coordinates, are Pu at (0.0000, 0.0000, 0.0000), Cd at (0.0000, 0.5000, 0.0000), Cd at (0.0102, 0.0000, 0.3422), Cd at (0.2328, 0.5000, 0.6526), Cd at (0.2426, 0.5000, 0.0019), Hg at (0.0036, 0.5000, 0.3218) and Hg at (0.2435, 0.0000, 0.6764).

---

Record 3
The following is a GGA-PBE calculation of a relaxed PuCd2Hg3 crystal, from Alexandria.

The volume is 154.5 Å³/f.u. The energy of formation comes out at -0.026 eV/atom. The calculation puts the density of states at the Fermi level at 2.4841 states/eV/atom.

The space group is Cmcm (No. 63) and the conventional cell measures 6.5787, 16.2390 and 5.7863 Å, with angles of 90.00, 90.00 and 90.00 degrees. The distinct sites, in fractional coordinates, are Pu at (0.0000, 0.1618, 0.2500), Cd at (0.2357, 0.0000, 0.0000), Hg at (0.0000, 0.3622, 0.7500) and Hg at (0.2438, 0.1712, 0.7500).

---

Record 4
The following is a GGA-PBE calculation of a relaxed PuCd2Hg crystal, from Alexandria.

The volume is 97.2 Å³/f.u. The energy of formation comes out at 0.004 eV/atom. The calculation puts the density of states at the Fermi level at 3.4868 states/eV/atom.

The space group is Fm-3m (No. 225) and the conventional cell measures 7.2988, 7.2988 and 7.2988 Å, with angles of 90.00, 90.00 and 90.00 degrees. The distinct sites, in fractional coordinates, are Pu at (0.0000, 0.0000, 0.0000), Cd at (0.2500, 0.2500, 0.2500) and Hg at (0.0000, 0.0000, 0.5000).

---

Record 5
The following is a GGA-PBE calculation of a relaxed PuCdHgRh crystal, from Alexandria.

The volume is 86.2 Å³/f.u. The energy of formation comes out at -0.089 eV/atom. The calculation puts the density of states at the Fermi level at 3.1706 states/eV/atom.

The space group is F-43m (No. 216) and the conventional cell measures 7.0121, 7.0121 and 7.0121 Å, with angles of 90.00, 90.00 and 90.00 degrees. The distinct sites, in fractional coordinates, are Pu at (0.0000, 0.0000, 0.0000), Cd at (0.0000, 0.0000, 0.5000), Hg at (0.2500, 0.2500, 0.2500) and Rh at (0.2500, 0.2500, 0.7500).

---

Record 6
The following is a GGA-PBE calculation of a relaxed PuScCdHg crystal, from Alexandria.

The volume is 98.7 Å³/f.u. The energy of formation comes out at -0.126 eV/atom. The calculation puts the density of states at the Fermi level at 2.7577 states/eV/atom.

The space group is F-43m (No. 216) and the conventional cell measures 7.3368, 7.3368 and 7.3368 Å, with angles of 90.00, 90.00 and 90.00 degrees. The distinct sites, in fractional coordinates, are Pu at (0.0000, 0.0000, 0.0000), Sc at (0.0000, 0.0000, 0.5000), Cd at (0.2500, 0.2500, 0.2500) and Hg at (0.2500, 0.2500, 0.7500).

---

Record 7
The following is a GGA-PBE calculation of a relaxed PuScCdHg crystal, from Alexandria.

The volume is 93.8 Å³/f.u. The energy of formation comes out at -0.192 eV/atom. The calculation puts the density of states at the Fermi level at 1.8671 states/eV/atom.

The space group is P4mm (No. 99) and the conventional cell measures 3.2550, 3.2550 and 8.8523 Å, with angles of 90.00, 90.00 and 90.00 degrees. The distinct sites, in fractional coordinates, are Pu at (0.0000, 0.0000, 0.0000), Sc at (0.0000, 0.0000, 0.5080), Cd at (0.5000, 0.5000, 0.2740) and Hg at (0.5000, 0.5000, 0.7309).

---

Record 8
The following is a GGA-PBE calculation of a relaxed SmPuCdHg crystal, from Alexandria.

The volume is 109.1 Å³/f.u. The energy of formation comes out at -0.185 eV/atom. The calculation puts the density of states at the Fermi level at 2.7537 states/eV/atom.

The space group is F-43m (No. 216) and the conventional cell measures 7.5840, 7.5840 and 7.5840 Å, with angles of 90.00, 90.00 and 90.00 degrees. The distinct sites, in fractional coordinates, are Sm at (0.0000, 0.0000, 0.0000), Pu at (0.0000, 0.0000, 0.5000), Cd at (0.2500, 0.2500, 0.7500) and Hg at (0.2500, 0.2500, 0.2500).